A geometry-optimized Rb2UMnO6 structure, computed with PBE+U.

Cell: 5.8174 5.8173 5.8178 Å, 120.00 120.00 90.00°
Closest atoms and distances in Å follow each position.
Atoms (fractional coordinates):
O: 0.2445 0.2450 0.9998  1 Mn 2.01, 1 U 2.10
O: 0.7554 0.7558 0.5107  1 Mn 2.01, 1 U 2.10
U: 0.4999 0.5004 0.9998  6 O 2.10
O: 0.7554 0.2449 0.9998  1 Mn 2.01, 1 U 2.10
O: 0.7553 0.7558 0.9998  1 Mn 2.01, 1 U 2.10
Rb: 0.7499 0.2504 0.4998  12 O 2.91
Rb: 0.2499 0.7504 0.4998  12 O 2.91
O: 0.2444 0.2450 0.4889  1 Mn 2.01, 1 U 2.10
O: 0.2444 0.7559 0.9998  1 Mn 2.01, 1 U 2.10
Mn: 0.9999 0.0004 0.9998  6 O 2.01

The calculation puts the total magnetization at 2.9 μB/f.u. The value obtained for the total energy is -7.1861 eV per atom. As for the space-group type: Fm-3m.